This record from the Alexandria database describes AlAg3 after structural relaxation. The functional is PBE-GGA.

Lattice parameters (Å, degrees): 7.0223 7.0223 7.0223 90.23 90.23 90.23
Closest atoms and distances in Å follow each position.
Element x y z (fractional)
Al  0.0000  0.0000  0.0000  6 Ag 2.61-2.79
Al  0.1134  0.5017  0.6273  5 Ag 2.60-2.82, 1 Al 2.72
Al  0.3680  0.3680  0.3680  3 Al 2.72, 9 Ag 2.80-2.95
Al  0.5017  0.6273  0.1134  5 Ag 2.60-2.82, 1 Al 2.72
Al  0.6273  0.1134  0.5017  5 Ag 2.60-2.82, 1 Al 2.72
Ag  0.0103  0.1921  0.3488  4 Al 2.79-3.00, 8 Ag 2.91-3.04
Ag  0.1109  0.6687  0.2703  3 Al 2.77-2.98, 8 Ag 2.90-2.98
Ag  0.1921  0.3488  0.0103  4 Al 2.79-3.00, 8 Ag 2.91-3.04
Ag  0.2437  0.7486  0.8760  3 Al 2.60-2.62, 1 Ag 2.88
Ag  0.2703  0.1109  0.6687  3 Al 2.77-2.98, 8 Ag 2.90-2.98
Ag  0.3488  0.0103  0.1921  4 Al 2.79-3.00, 8 Ag 2.91-3.04
Ag  0.4374  0.7591  0.5093  4 Al 2.82-3.02, 8 Ag 2.90-2.99
Ag  0.5093  0.4374  0.7591  4 Al 2.82-3.02, 8 Ag 2.90-2.99
Ag  0.6075  0.9392  0.8536  3 Al 2.77-2.97, 9 Ag 2.88-3.04
Ag  0.6687  0.2703  0.1109  3 Al 2.77-2.98, 8 Ag 2.90-2.98
Ag  0.7486  0.8760  0.2437  3 Al 2.60-2.62, 1 Ag 2.88
Ag  0.7591  0.5093  0.4374  4 Al 2.82-3.02, 8 Ag 2.90-2.99
Ag  0.8536  0.6075  0.9392  3 Al 2.77-2.97, 9 Ag 2.88-3.04
Ag  0.8760  0.2437  0.7486  3 Al 2.60-2.62, 1 Ag 2.88
Ag  0.9392  0.8536  0.6075  3 Al 2.77-2.97, 9 Ag 2.88-3.04

## Properties
Energy of formation from the pure elements in eV per formula unit: -0.2
Density in g/cm³: 8.4
Volume in Å³ per atom: 17.31
Crystal system: trigonal



This record from the Alexandria database describes TbEr2In2 after structural relaxation. The functional is PBE-GGA.

Lattice parameters (Å, degrees): 3.7308 5.3283 13.9097 90.00 97.72 90.00
Closest atoms and distances in Å follow each position.
Element x y z (fractional)
Tb  0.1482  0.2500  0.2982  6 In 3.26-3.33, 3 Er 3.61-3.64
Tb  0.8518  0.7500  0.7018  6 In 3.26-3.33, 3 Er 3.61-3.64
Er  0.0481  0.7500  0.0962  8 In 3.23-3.27
Er  0.2372  0.7500  0.4746  2 In 3.18-3.19, 4 Er 3.33
Er  0.7628  0.2500  0.5254  2 In 3.18-3.19, 4 Er 3.33
Er  0.9519  0.2500  0.9038  8 In 3.23-3.27
In  0.3571  0.2500  0.7128  4 Er 3.18-3.23, 4 Tb 3.26
In  0.4506  0.7500  0.9016  6 Er 3.25-3.27, 2 Tb 3.32-3.33
In  0.5494  0.2500  0.0984  6 Er 3.25-3.27, 2 Tb 3.32-3.33
In  0.6429  0.7500  0.2872  4 Er 3.18-3.23, 4 Tb 3.26

## Properties
Energy of formation from the pure elements in eV per formula unit: -1.9
Density in g/cm³: 8.8
Volume in Å³ per atom: 27.40
Crystal system: monoclinic



This record from the Alexandria database describes Ta2TcHg after structural relaxation. The functional is PBE-GGA.

Lattice parameters (Å, degrees): 5.3587 5.3587 4.6685 112.64 112.64 35.69
Closest atoms and distances in Å follow each position.
Element x y z (fractional)
Ta  0.0000  0.0000  0.0000  4 Tc 2.81-2.92, 2 Ta 2.89, 3 Hg 2.99-3.13
Ta  0.2452  0.2452  0.7525  2 Tc 2.65, 4 Hg 2.84-2.88, 2 Ta 2.89
Tc  0.5238  0.5238  0.5063  6 Ta 2.65-2.92, 2 Hg 2.90
Hg  0.7674  0.7674  0.2770  7 Ta 2.84-3.13, 3 Tc 2.90-3.08

## Properties
Energy of formation from the pure elements in eV per formula unit: 0.8
Density in g/cm³: 15.3
Volume in Å³ per atom: 17.88
Crystal system: monoclinic



This record from the Alexandria database describes HoCo2Sn4 after structural relaxation. The functional is PBE-GGA.

Lattice parameters (Å, degrees): 18.0963 4.3119 7.1109 90.00 90.00 90.00
Closest atoms and distances in Å follow each position.
Element x y z (fractional)
Ho  0.1426  0.2500  0.0019  8 Sn 3.08-3.30, 4 Co 3.36-3.40
Ho  0.3574  0.7500  0.5019  8 Sn 3.08-3.30, 4 Co 3.36-3.40
Ho  0.6426  0.2500  0.4981  8 Sn 3.08-3.30, 4 Co 3.36-3.40
Ho  0.8574  0.7500  0.9981  8 Sn 3.08-3.30, 4 Co 3.36-3.40
Co  0.0361  0.7500  0.7506  7 Sn 2.60-2.81
Co  0.2149  0.2500  0.4822  7 Sn 2.62-2.76
Co  0.2851  0.7500  0.9822  7 Sn 2.62-2.76
Co  0.4639  0.2500  0.2506  7 Sn 2.60-2.81
Co  0.5361  0.7500  0.7494  7 Sn 2.60-2.81
Co  0.7149  0.2500  0.0178  7 Sn 2.62-2.76
Co  0.7851  0.7500  0.5178  7 Sn 2.62-2.76
Co  0.9639  0.2500  0.2494  7 Sn 2.60-2.81
Sn  0.0298  0.7500  0.1332  3 Co 2.60-2.72
Sn  0.0684  0.2500  0.5119  4 Co 2.66-2.81
Sn  0.1804  0.7500  0.6995  4 Co 2.64-2.76
Sn  0.1977  0.7500  0.2786  3 Co 2.62-2.64
Sn  0.3023  0.2500  0.7786  3 Co 2.62-2.64
Sn  0.3196  0.2500  0.1995  4 Co 2.64-2.76
Sn  0.4316  0.7500  0.0119  4 Co 2.66-2.81
Sn  0.4702  0.2500  0.6332  3 Co 2.60-2.72
Sn  0.5298  0.7500  0.3668  3 Co 2.60-2.72
Sn  0.5684  0.2500  0.9881  4 Co 2.66-2.81
Sn  0.6804  0.7500  0.8005  4 Co 2.64-2.76
Sn  0.6977  0.7500  0.2214  3 Co 2.62-2.64
Sn  0.8023  0.2500  0.7214  3 Co 2.62-2.64
Sn  0.8196  0.2500  0.3005  4 Co 2.64-2.76
Sn  0.9316  0.7500  0.4881  4 Co 2.66-2.81
Sn  0.9702  0.2500  0.8668  3 Co 2.60-2.72

## Properties
Energy of formation from the pure elements in eV per formula unit: -2.0
Density in g/cm³: 9.1
Volume in Å³ per atom: 19.82
Crystal system: orthorhombic



This record from the Alexandria database describes La5Sm4 after structural relaxation. The functional is PBE-GGA.

Lattice parameters (Å, degrees): 9.7701 9.7701 9.7701 158.21 111.01 73.31
Closest atoms and distances in Å follow each position.
Element x y z (fractional)
La  0.0000  0.0000  0.0000  4 La 3.68-3.69, 8 Sm 3.71
La  0.3322  0.0000  0.3322  8 La 3.68-3.71, 4 Sm 3.70
La  0.3323  0.3323  0.0000  6 Sm 3.67-3.69, 6 La 3.69-3.71
La  0.6678  0.0000  0.6678  8 La 3.68-3.71, 4 Sm 3.70
La  0.6677  0.6677  0.0000  6 Sm 3.67-3.69, 6 La 3.69-3.71
Sm  0.0009  0.6677  0.3332  5 Sm 3.67-3.69, 7 La 3.67-3.71
Sm  0.3345  0.6677  0.6668  5 Sm 3.67-3.69, 7 La 3.67-3.71
Sm  0.6655  0.3323  0.3332  5 Sm 3.67-3.69, 7 La 3.67-3.71
Sm  0.9991  0.3323  0.6668  5 Sm 3.67-3.69, 7 La 3.67-3.71

## Properties
Energy of formation from the pure elements in eV per formula unit: 0.2
Density in g/cm³: 6.7
Volume in Å³ per atom: 35.59
Crystal system: orthorhombic



This record from the Alexandria database describes CuBiPb2 after structural relaxation. The functional is PBE-GGA.

Lattice parameters (Å, degrees): 11.7239 11.7239 11.7239 16.62 16.62 16.62
Closest atoms and distances in Å follow each position.
Element x y z (fractional)
Cu  0.0000  0.0000  0.0000  2 Pb 2.70
Bi  0.5000  0.5000  0.5000  6 Bi 3.39, 6 Pb 3.65
Pb  0.0778  0.0778  0.0778  1 Cu 2.70
Pb  0.9222  0.9222  0.9222  1 Cu 2.70

## Properties
Energy of formation from the pure elements in eV per formula unit: 1.5
Density in g/cm³: 9.9
Volume in Å³ per atom: 28.73
Crystal system: trigonal



This record from the Alexandria database describes BeZnIn after structural relaxation. The functional is PBE-GGA.

Lattice parameters (Å, degrees): 6.3775 6.3775 4.3204 90.00 90.00 143.59
Closest atoms and distances in Å follow each position.
Element x y z (fractional)
Be  0.0000  0.0000  0.0000  2 Be 2.16, 4 Zn 2.41
Be  0.0000  0.0000  0.5000  2 Be 2.16, 4 Zn 2.41
Zn  0.4324  0.5676  0.7500  4 Be 2.41
Zn  0.5676  0.4324  0.2500  4 Be 2.41
In  0.1953  0.8047  0.7500  2 Be 2.60, 1 Zn 2.87
In  0.8047  0.1953  0.2500  2 Be 2.60, 1 Zn 2.87

## Properties
Energy of formation from the pure elements in eV per formula unit: 0.6
Density in g/cm³: 6.0
Volume in Å³ per atom: 17.38
Crystal system: orthorhombic



This record from the Alexandria database describes SmNi2GeH after structural relaxation. The functional is PBE-GGA.

Lattice parameters (Å, degrees): 5.5519 5.5519 6.8460 90.00 90.00 139.32
Closest atoms and distances in Å follow each position.
Element x y z (fractional)
Sm  0.0626  0.9374  0.7500  4 H 2.66, 3 Ge 2.95-2.97
Sm  0.9374  0.0626  0.2500  4 H 2.66, 3 Ge 2.95-2.97
Ni  0.3374  0.6626  0.5569  1 H 1.74
Ni  0.3374  0.6626  0.9431  1 H 1.74
Ni  0.6626  0.3374  0.0569  1 H 1.74
Ni  0.6626  0.3374  0.4431  1 H 1.74
Ge  0.2203  0.7797  0.2500  6 Ni 2.41-2.43
Ge  0.7797  0.2203  0.7500  6 Ni 2.41-2.43
H  0.5000  0.5000  0.0000  2 Ni 1.74
H  0.5000  0.5000  0.5000  2 Ni 1.74

## Properties
E_tot in eV/atom: -5.45
Density in g/cm³: 8.2
Volume in Å³ per atom: 13.75
Crystal system: orthorhombic



This record from the Alexandria database describes Ti2VPd3 after structural relaxation. The functional is PBE-GGA.

Lattice parameters (Å, degrees): 7.3834 7.3834 2.9299 90.00 90.00 143.73
Closest atoms and distances in Å follow each position.
Element x y z (fractional)
Ti  0.1568  0.8432  0.0000  8 Pd 2.64-2.75, 2 Ti 2.93
Ti  0.8432  0.1568  0.0000  8 Pd 2.64-2.75, 2 Ti 2.93
V  0.5000  0.5000  0.0000  8 Pd 2.73-2.93, 2 V 2.93
Pd  0.0000  0.0000  0.5000  4 Ti 2.64, 4 V 2.73, 2 Pd 2.93
Pd  0.3192  0.6808  0.5000  6 Ti 2.71-2.75, 2 V 2.93, 4 Pd 2.93-3.01
Pd  0.6808  0.3192  0.5000  6 Ti 2.71-2.75, 2 V 2.93, 4 Pd 2.93-3.01

## Properties
Energy of formation from the pure elements in eV per formula unit: -2.0
Density in g/cm³: 8.2
Volume in Å³ per atom: 15.75
Crystal system: orthorhombic



This record from the Alexandria database describes In2CoHRh after structural relaxation. The functional is PBE-GGA.

Lattice parameters (Å, degrees): 4.6235 4.6235 3.1916 90.00 90.00 90.00
Closest atoms and distances in Å follow each position.
Element x y z (fractional)
In  0.0000  0.5000  0.0000  2 H 2.31
In  0.5000  0.0000  0.0000  2 H 2.31
Co  0.0000  0.0000  0.5000  2 H 1.60
H  0.0000  0.0000  0.0000  2 Co 1.60
Rh  0.5000  0.5000  0.5000  8 In 2.81

## Properties
E_tot in eV/atom: -4.71
Density in g/cm³: 9.6
Volume in Å³ per atom: 13.64
Crystal system: tetragonal



Q: Look up the density of the first one.
A: 8.4 g/cm³